Entry from the Alexandria database: an optimized crystal structure of MnGeBrO2 (GGA+U).

Lattice parameters (Å, degrees): 4.001 6.624 7.034 104.00 90.00 90.00
Fractional positions:
Br  0.750  0.022  0.275
O  0.250  0.467  0.095
Ge  0.250  0.619  0.893
O  0.750  0.542  0.363
O  0.750  0.533  0.905
Mn  0.750  0.340  0.580
O  0.250  0.458  0.637
Mn  0.250  0.660  0.420
Ge  0.750  0.381  0.107
Br  0.250  0.978  0.725

**Total magnetization**: 0.97 μB per atom
**E**: -59.1 eV per cell
**Symmetry**: P2_1/m, No. 11